Run A
The following is a PBE calculation of an optimized crystal structure of Ho6In3Os, from the Alexandria database.

abc: 5.2167 9.2255 11.3063
angles: 107.39 90.00 90.00
Closest atoms and distances in Å follow each position.
Element x y z (fractional)
1 In 0.2500 0.4036 0.7798  6 Ho 3.11-3.33, 2 In 3.40
2 In 0.2500 0.7761 0.9761  9 Ho 3.23-3.51, 1 In 3.49
3 In 0.7500 0.4872 0.6190  6 Ho 3.17-3.37, 2 In 3.40
4 In 0.7500 0.2239 0.0239  9 Ho 3.23-3.51, 1 In 3.49
5 In 0.2500 0.5128 0.3810  6 Ho 3.17-3.37, 2 In 3.40
6 In 0.7500 0.5964 0.2202  6 Ho 3.11-3.33, 2 In 3.40
7 Ho 0.2500 0.1052 0.8540  1 Os 2.82, 1 In 3.11
8 Ho 0.2500 0.2144 0.4948  3 Os 2.89-3.08, 1 In 3.17
9 Ho 0.2500 0.6922 0.6684  1 Os 2.84, 3 In 3.17
10 Ho 0.7500 0.7856 0.5052  3 Os 2.89-3.08, 1 In 3.17
11 Ho 0.2500 0.8530 0.3305  3 Os 2.86-3.10
12 Ho 0.7500 0.1470 0.6695  3 Os 2.86-3.10
13 Ho 0.7500 0.5430 0.9159  6 In 3.11-3.33, 3 Ho 3.41-3.46
14 Ho 0.2500 0.4570 0.0841  6 In 3.11-3.33, 3 Ho 3.41-3.46
15 Ho 0.7500 0.8755 0.8420  3 In 3.26-3.28, 8 Ho 3.34-3.65
16 Ho 0.7500 0.3078 0.3316  1 Os 2.84, 3 In 3.17
17 Ho 0.2500 0.1245 0.1580  3 In 3.26-3.28, 8 Ho 3.34-3.65
18 Ho 0.7500 0.8948 0.1460  1 Os 2.82, 1 In 3.11
19 Os 0.2500 0.9611 0.5958  8 Ho 2.82-3.10
20 Os 0.7500 0.0389 0.4042  8 Ho 2.82-3.10

Summary:
- Crystal system: monoclinic
- ρ: 9.75 g/cm³

=====

Run B
The following is a PBE calculation of an optimized crystal structure of Ho6In3Os, from the Alexandria database.

abc: 5.1057 9.0276 11.6818
angles: 90.00 90.00 90.00
Closest atoms and distances in Å follow each position.
Element x y z (fractional)
1 Ho 0.0001 0.3479 0.4202  2 Os 3.04-3.05, 1 In 3.28, 3 Ho 3.32-3.36
2 Ho 0.9999 0.6521 0.5798  2 Os 3.04-3.05, 1 In 3.28, 3 Ho 3.32-3.36
3 Ho 0.9999 0.9809 0.2358  1 Os 2.76, 4 In 3.02-3.09
4 Ho 0.4999 0.8479 0.0798  2 Os 3.04-3.05, 1 In 3.28, 3 Ho 3.32-3.36
5 Ho 0.5002 0.4809 0.2642  1 Os 2.76, 4 In 3.02-3.09
6 Ho 0.5000 0.8011 0.4103  1 Os 2.91
7 Ho 0.4998 0.5191 0.7358  1 Os 2.76, 4 In 3.02-3.09
8 Ho 0.0000 0.3011 0.0897  1 Os 2.91
9 Ho 0.0000 0.6989 0.9103  1 Os 2.91
10 Ho 0.5001 0.1521 0.9202  2 Os 3.04-3.05, 1 In 3.28, 3 Ho 3.32-3.36
11 Ho 0.0001 0.0191 0.7642  1 Os 2.76, 4 In 3.02-3.09
12 Ho 0.5000 0.1989 0.5897  1 Os 2.91
13 In 0.9998 0.3521 0.7884  3 Ho 3.02-3.03
14 In 0.0000 0.0000 0.5000  8 Ho 3.09-3.29
15 In 0.0002 0.6479 0.2116  3 Ho 3.02-3.03
16 In 0.4998 0.1479 0.2883  3 Ho 3.02-3.03
17 In 0.5002 0.8521 0.7117  3 Ho 3.02-3.03
18 In 0.5000 0.5000 0.0000  8 Ho 3.09-3.29
19 Os 0.5000 0.5000 0.5000  8 Ho 2.76-3.05
20 Os 0.0000 0.0000 0.0000  8 Ho 2.76-3.05

Summary:
- Crystal system: orthorhombic
- ρ: 9.40 g/cm³

=====

Q: Which of them is the most stable? A: run A.

=====

Run A
The following is a PBE calculation of an optimized crystal structure of Ho3InP, from the Alexandria database.

abc: 3.9671 8.8948 15.0369
angles: 90.00 90.00 90.00
Closest atoms and distances in Å follow each position.
Element x y z (fractional)
1 Ho 0.2500 0.6978 0.7119  1 P 2.66
2 Ho 0.7500 0.6633 0.4892  2 P 2.71
3 Ho 0.2500 0.3367 0.5108  2 P 2.71
4 Ho 0.7500 0.0299 0.6097  3 P 2.74-2.75
5 Ho 0.2500 0.1978 0.7881  1 P 2.66
6 Ho 0.7500 0.1633 0.0108  2 P 2.71
7 Ho 0.2500 0.4701 0.1097  3 P 2.74-2.75
8 Ho 0.2500 0.9701 0.3903  3 P 2.74-2.75
9 Ho 0.7500 0.5299 0.8903  3 P 2.74-2.75
10 Ho 0.7500 0.3022 0.2881  1 P 2.66
11 Ho 0.2500 0.8367 0.9892  2 P 2.71
12 Ho 0.7500 0.8022 0.2119  1 P 2.66
13 P 0.7500 0.6616 0.0555  6 Ho 2.66-2.75
14 P 0.7500 0.1616 0.4445  6 Ho 2.66-2.75
15 P 0.2500 0.3384 0.9445  6 Ho 2.66-2.75
16 P 0.2500 0.8384 0.5555  6 Ho 2.66-2.75
17 In 0.7500 0.4142 0.6743  9 Ho 3.23-3.56
18 In 0.7500 0.9142 0.8257  9 Ho 3.23-3.56
19 In 0.2500 0.0858 0.1743  9 Ho 3.23-3.56
20 In 0.2500 0.5858 0.3257  9 Ho 3.23-3.56

Summary:
- Crystal system: orthorhombic
- ρ: 8.02 g/cm³

=====

Run B
The following is a PBE calculation of an optimized crystal structure of Ho3InP, from the Alexandria database.

abc: 5.2137 5.2137 5.2137
angles: 90.00 90.00 90.00
Closest atoms and distances in Å follow each position.
Element x y z (fractional)
1 Ho 0.0000 0.5000 0.0000  2 P 2.61
2 Ho 0.5000 0.0000 0.0000  2 P 2.61
3 Ho 0.0000 0.0000 0.5000  2 P 2.61
4 P 0.0000 0.0000 0.0000  6 Ho 2.61
5 In 0.5000 0.5000 0.5000  12 Ho 3.69

Summary:
- Crystal system: cubic
- ρ: 7.51 g/cm³

=====

Q: Which of them is the most stable? A: run A.

=====

Run A
The following is a PBE calculation of an optimized crystal structure of HoPaIn2, from the Alexandria database.

abc: 4.5547 4.7695 4.7695
angles: 90.00 90.00 90.00
Closest atoms and distances in Å follow each position.
Element x y z (fractional)
1 In 0.0000 0.5000 0.0000  4 Ho 3.30, 4 Pa 3.30, 4 In 3.37
2 In 0.0000 0.0000 0.5000  4 Pa 3.30, 4 Ho 3.30, 4 In 3.37
3 Pa 0.5000 0.5000 0.5000  8 In 3.30, 4 Ho 3.37
4 Ho 0.5000 0.0000 0.0000  8 In 3.30, 4 Pa 3.37

Summary:
- Crystal system: tetragonal
- ρ: 10.03 g/cm³

=====

Run B
The following is a PBE calculation of an optimized crystal structure of HoPaIn2, from the Alexandria database.

abc: 3.3121 3.3121 9.2685
angles: 90.00 90.00 90.00
Closest atoms and distances in Å follow each position.
Element x y z (fractional)
1 In 0.0000 0.0000 0.7533  4 Ho 3.27, 4 In 3.31, 4 Pa 3.32
2 In 0.0000 0.0000 0.2467  4 Ho 3.27, 4 In 3.31, 4 Pa 3.32
3 Pa 0.5000 0.5000 0.5000  4 Pa 3.31, 8 In 3.32
4 Ho 0.5000 0.5000 0.0000  8 In 3.27, 4 Ho 3.31

Summary:
- Crystal system: tetragonal
- ρ: 10.22 g/cm³

=====

Run C
The following is a PBE calculation of an optimized crystal structure of HoPaIn2, from the Alexandria database.

abc: 3.3219 3.3219 11.0715
angles: 81.37 81.37 60.00
Closest atoms and distances in Å follow each position.
Element x y z (fractional)
1 Pa 0.0000 0.0000 0.0000  6 Pa 3.32, 6 In 3.36
2 In 0.7511 0.7511 0.7468  3 Ho 3.30, 6 In 3.32, 3 Pa 3.36
3 In 0.2489 0.2489 0.2532  3 Ho 3.30, 6 In 3.32, 3 Pa 3.36
4 Ho 0.5000 0.5000 0.5000  6 In 3.30, 6 Ho 3.32

Summary:
- Crystal system: trigonal
- ρ: 9.97 g/cm³

=====

Q: Which of them is the most stable? A: run B.

=====

Run A
The following is a PBE calculation of an optimized crystal structure of HoInPb, from the Alexandria database.

abc: 3.8034 3.8034 6.3411
angles: 107.45 107.45 90.00
Closest atoms and distances in Å follow each position.
Element x y z (fractional)
1 Pb 0.9594 0.9594 0.9189  4 In 3.21, 4 Ho 3.40
2 In 0.6126 0.6126 0.2252  4 Pb 3.21, 4 Ho 3.29
3 Ho 0.2780 0.2780 0.5560  4 In 3.29, 5 Pb 3.40-3.66

Summary:
- Crystal system: tetragonal
- ρ: 9.73 g/cm³

=====

Run B
The following is a PBE calculation of an optimized crystal structure of HoInPb, from the Alexandria database.

abc: 3.5049 5.2387 5.2387
angles: 120.00 90.00 90.00
Closest atoms and distances in Å follow each position.
Element x y z (fractional)
1 In 0.0552 0.0000 0.0000  3 Pb 3.12, 3 Ho 3.31
2 Ho 0.6699 0.6667 0.3333  3 In 3.31, 6 Pb 3.33-3.69, 2 Ho 3.50
3 Pb 0.2749 0.3333 0.6667  3 In 3.12, 3 Ho 3.33

Summary:
- Crystal system: trigonal
- ρ: 9.71 g/cm³

=====

Q: Which of them is the most stable? A: run B.